Material: Nd5Er3Tm4
Method: DFT, PBE
State: relaxed

```
12
Lattice="6.2614 -2.8749 0.0000 6.2614 2.8749 0.0000 -1.1306 0.0000 10.8851" Properties=species:S:1:pos:R:3 pbc="T T T"
Nd 0.0000 0.0000 0.0000
Nd 3.5765 0.0000 7.9653
Nd 4.5383 0.0000 4.4563
Nd 6.8539 0.0000 6.4288
Nd 7.8157 0.0000 2.9198
Er 3.0872 0.0000 1.1743
Er 6.2614 0.0000 0.0000
Er 8.3051 0.0000 9.7108
Tm 0.1035 0.0000 8.2118
Tm 1.3252 0.0000 4.9158
Tm 10.0670 0.0000 5.9693
Tm 11.2887 0.0000 2.6734
```

Values from the calculation:
The calculation puts the formation energy at 258.4 meV per atom. Its density of states at the Fermi level is 16.7 states/eV per cell. The space group is C2/m, No. 12. For the total energy, the calculation gives -4.359 eV/atom. The crystal system is monoclinic. For the total moment, the calculation gives 0.15 μB per formula unit.


Material: Be2InP
Method: DFT, PBE
State: relaxed

```
4
Lattice="3.2923 0.0000 0.0000 0.0000 3.3881 0.0000 -1.6385 0.0000 5.6203" Properties=species:S:1:pos:R:3 pbc="T T T"
Be 0.0000 0.0000 0.0000
Be -0.0304 1.6940 1.4608
In 0.0413 0.0000 3.4158
P 1.6145 1.6940 0.1690
```

Values from the calculation:
The calculation puts the formation energy at 187.0 meV per atom. The distance to the lowest polymorph of the same formula is 41 meV/atom. Its density of states at the Fermi level is 0.8 states/eV per cell. The space group is Pm, No. 6. For the total energy, the calculation gives -3.713 eV/atom. The crystal system is monoclinic. For the total moment, the calculation gives 0.00 μB per formula unit.


Material: KZnSb2
Method: DFT, PBE
State: relaxed

```
4
Lattice="-2.0491 2.9130 5.4138 2.0491 -2.9130 5.4138 2.0491 2.9130 -5.4138" Properties=species:S:1:pos:R:3 pbc="T T T"
K 0.0000 0.0000 0.0000
Zn 0.0000 2.9130 2.1756
Sb 2.0491 0.0000 3.0659
Sb 0.0000 0.0000 5.0756
```

Values from the calculation:
The raw formation energy comes out at -0.009 eV/atom. Its density of states at the Fermi level is 1.0 states/eV per cell. The space group is Imm2, No. 44. For the total energy, the calculation gives -2.663 eV/atom. The crystal system is orthorhombic. For the total moment, the calculation gives 0.00 μB per formula unit.